Material: Nb2ReNiN
Method: DFT, PBE
State: optimized geometry

Cell: 4.2096 3.9943 4.2096 Å, 90.00 90.00 90.00°
With the nearest neighbours (Å) after each atom.
Atoms (fractional coordinates):
N  0.0000  0.0000  0.0000  2 Re 2.00, 4 Nb 2.10
Re  0.0000  0.5000  0.0000  2 N 2.00
Nb  0.5000  0.0000  0.0000  2 N 2.10
Nb  0.0000  0.0000  0.5000  2 N 2.10
Ni  0.5000  0.5000  0.5000  8 Nb 2.90, 4 Re 2.98

total moment	0.00	μB/cell
symmetry	No. 123
E_form (uncorrected)	-0.222	eV/atom